Yb2Co12P7: relaxed, PBE-GGA.

Unit cell a=9.007 b=9.007 c=3.553 alpha=90.00 beta=90.00 gamma=120.00
Sites, in units of the cell vectors:
1 Yb 0.000 0.000 0.000
2 Yb 0.333 0.667 0.500
3 Co 0.050 0.767 0.500
4 Co 0.100 0.390 0.000
5 Co 0.233 0.283 0.500
6 Co 0.290 0.900 0.000
7 Co 0.395 0.215 0.000
8 Co 0.533 0.098 0.500
9 Co 0.565 0.467 0.500
10 Co 0.610 0.710 0.000
11 Co 0.717 0.950 0.500
12 Co 0.785 0.180 0.000
13 Co 0.820 0.605 0.000
14 Co 0.902 0.435 0.500
15 P 0.073 0.625 0.000
16 P 0.263 0.043 0.500
17 P 0.375 0.448 0.000
18 P 0.552 0.927 0.000
19 P 0.667 0.333 0.000
20 P 0.780 0.737 0.500
21 P 0.957 0.220 0.500

ΔH_f (0 K) (kJ/mol of atoms): -72.3
DFT total energy (hartree per atom): -0.2484
Fermi-level density of states (states/eV per cell): 32.96



YbCo5P3: relaxed, PBE-GGA.

Unit cell a=11.738 b=3.610 c=10.264 alpha=90.00 beta=90.00 gamma=90.00
Sites, in units of the cell vectors:
1 Yb 0.204 0.250 0.084
2 Yb 0.296 0.750 0.584
3 Yb 0.704 0.250 0.416
4 Yb 0.796 0.750 0.916
5 Co 0.010 0.750 0.717
6 Co 0.011 0.750 0.092
7 Co 0.068 0.750 0.466
8 Co 0.176 0.250 0.781
9 Co 0.198 0.250 0.381
10 Co 0.302 0.750 0.881
11 Co 0.324 0.750 0.281
12 Co 0.432 0.250 0.966
13 Co 0.489 0.250 0.592
14 Co 0.490 0.250 0.217
15 Co 0.510 0.750 0.783
16 Co 0.511 0.750 0.408
17 Co 0.568 0.750 0.034
18 Co 0.676 0.250 0.719
19 Co 0.698 0.250 0.119
20 Co 0.802 0.750 0.619
21 Co 0.824 0.750 0.219
22 Co 0.932 0.250 0.534
23 Co 0.989 0.250 0.908
24 Co 0.990 0.250 0.283
25 P 0.110 0.750 0.899
26 P 0.112 0.250 0.582
27 P 0.130 0.750 0.269
28 P 0.370 0.250 0.769
29 P 0.388 0.750 0.082
30 P 0.390 0.250 0.399
31 P 0.610 0.750 0.601
32 P 0.612 0.250 0.918
33 P 0.630 0.750 0.231
34 P 0.870 0.250 0.731
35 P 0.888 0.750 0.418
36 P 0.890 0.250 0.101

ΔH_f (0 K) (kJ/mol of atoms): -75.5
DFT total energy (hartree per atom): -0.2463
Fermi-level density of states (states/eV per cell): 59.42



YbCo4P12: relaxed, PBE-GGA.

Unit cell a=6.744 b=6.744 c=6.744 alpha=109.47 beta=109.47 gamma=109.47
Sites, in units of the cell vectors:
1 Yb 0.000 0.000 0.000
2 Co 0.000 0.000 0.500
3 Co 0.000 0.500 0.000
4 Co 0.500 0.000 0.000
5 Co 0.500 0.500 0.500
6 P 0.148 0.501 0.353
7 P 0.148 0.795 0.647
8 P 0.205 0.353 0.852
9 P 0.353 0.148 0.501
10 P 0.353 0.852 0.205
11 P 0.499 0.647 0.852
12 P 0.501 0.353 0.148
13 P 0.647 0.148 0.795
14 P 0.647 0.852 0.499
15 P 0.795 0.647 0.148
16 P 0.852 0.205 0.353
17 P 0.852 0.499 0.647

ΔH_f (0 K) (kJ/mol of atoms): -52.6
DFT total energy (hartree per atom): -0.2251
Fermi-level density of states (states/eV per cell): 8.17



YbCo3P2: relaxed, PBE-GGA.

Unit cell a=3.675 b=10.512 c=12.116 alpha=90.00 beta=90.00 gamma=90.00
Sites, in units of the cell vectors:
1 Yb 0.250 0.071 0.206
2 Yb 0.250 0.250 0.475
3 Yb 0.250 0.429 0.206
4 Yb 0.750 0.571 0.794
5 Yb 0.750 0.750 0.525
6 Yb 0.750 0.929 0.794
7 Co 0.250 0.130 0.708
8 Co 0.250 0.250 0.011
9 Co 0.250 0.370 0.708
10 Co 0.250 0.548 0.431
11 Co 0.250 0.583 0.996
12 Co 0.250 0.750 0.159
13 Co 0.250 0.750 0.702
14 Co 0.250 0.917 0.996
15 Co 0.250 0.952 0.431
16 Co 0.750 0.048 0.569
17 Co 0.750 0.083 0.004
18 Co 0.750 0.250 0.298
19 Co 0.750 0.250 0.841
20 Co 0.750 0.417 0.004
21 Co 0.750 0.452 0.569
22 Co 0.750 0.630 0.292
23 Co 0.750 0.750 0.989
24 Co 0.750 0.870 0.292
25 P 0.250 0.096 0.892
26 P 0.250 0.404 0.892
27 P 0.250 0.559 0.617
28 P 0.250 0.750 0.343
29 P 0.250 0.750 0.884
30 P 0.250 0.941 0.617
31 P 0.750 0.059 0.383
32 P 0.750 0.250 0.116
33 P 0.750 0.250 0.657
34 P 0.750 0.441 0.383
35 P 0.750 0.596 0.108
36 P 0.750 0.904 0.108

ΔH_f (0 K) (kJ/mol of atoms): -82.1
DFT total energy (hartree per atom): -0.2374
Fermi-level density of states (states/eV per cell): 76.33



Zn2CoP: relaxed, PBE-GGA.

Unit cell a=8.330 b=8.330 c=8.330 alpha=19.34 beta=19.34 gamma=19.34
Sites, in units of the cell vectors:
1 Zn 0.246 0.246 0.246
2 Zn 0.754 0.754 0.754
3 Co 0.500 0.500 0.500
4 P 0.000 0.000 0.000

ΔH_f (0 K) (kJ/mol of atoms): 22.8
DFT total energy (hartree per atom): -0.1297
Fermi-level density of states (states/eV per cell): 3.00



ZnCo2P2: relaxed, PBE-GGA.

Unit cell a=6.680 b=6.680 c=2.732 alpha=90.00 beta=90.00 gamma=90.00
Sites, in units of the cell vectors:
1 Zn 0.000 0.000 0.000
2 Zn 0.500 0.500 0.000
3 Co 0.136 0.364 0.000
4 Co 0.364 0.864 0.000
5 Co 0.636 0.136 0.000
6 Co 0.864 0.636 0.000
7 P 0.153 0.653 0.500
8 P 0.347 0.153 0.500
9 P 0.653 0.847 0.500
10 P 0.847 0.347 0.500

ΔH_f (0 K) (kJ/mol of atoms): -7.3
DFT total energy (hartree per atom): -0.1961
Fermi-level density of states (states/eV per cell): 8.16



Zn2CoP: relaxed, PBE-GGA.

Unit cell a=6.471 b=6.471 c=6.471 alpha=156.92 beta=147.68 gamma=40.09
Sites, in units of the cell vectors:
1 Zn 0.187 0.187 0.000
2 Zn 0.813 0.813 0.000
3 Co 0.000 0.500 0.500
4 P 0.500 0.000 0.500

ΔH_f (0 K) (kJ/mol of atoms): -7.2
DFT total energy (hartree per atom): -0.1411
Fermi-level density of states (states/eV per cell): 2.76



Zn2CoP: relaxed, PBE-GGA.

Unit cell a=2.861 b=2.861 c=6.650 alpha=90.00 beta=90.00 gamma=90.00
Sites, in units of the cell vectors:
1 Zn 0.000 0.000 0.000
2 Zn 0.500 0.500 0.281
3 Co 0.000 0.000 0.547
4 P 0.500 0.500 0.699

ΔH_f (0 K) (kJ/mol of atoms): -5.4
DFT total energy (hartree per atom): -0.1404
Fermi-level density of states (states/eV per cell): 1.75



ZnCoP: relaxed, PBE-GGA.

Unit cell a=3.858 b=3.858 c=3.858 alpha=60.00 beta=60.00 gamma=60.00
Sites, in units of the cell vectors:
1 Zn 0.000 0.000 0.000
2 Co 0.750 0.750 0.750
3 P 0.500 0.500 0.500

ΔH_f (0 K) (kJ/mol of atoms): -12.8
DFT total energy (hartree per atom): -0.1738
Fermi-level density of states (states/eV per cell): 2.70



ZnCo2P: relaxed, PBE-GGA.

Unit cell a=3.782 b=3.782 c=5.083 alpha=100.09 beta=100.09 gamma=42.12
Sites, in units of the cell vectors:
1 Zn 0.000 0.000 0.000
2 Co 0.240 0.240 0.707
3 Co 0.760 0.760 0.293
4 P 0.500 0.500 0.500

ΔH_f (0 K) (kJ/mol of atoms): -10.3
DFT total energy (hartree per atom): -0.1959
Relative energy among the computed polymorphs (meV/atom): 147
Fermi-level density of states (states/eV per cell): 3.16



ZnCo2P: relaxed, PBE-GGA.

Unit cell a=4.081 b=4.081 c=4.081 alpha=60.00 beta=60.00 gamma=60.00
Sites, in units of the cell vectors:
1 Zn 0.000 0.000 0.000
2 Co 0.500 0.500 0.500
3 Co 0.750 0.750 0.750
4 P 0.250 0.250 0.250

ΔH_f (0 K) (kJ/mol of atoms): 20.2
DFT total energy (hartree per atom): -0.1843
Relative energy among the computed polymorphs (meV/atom): 463
Fermi-level density of states (states/eV per cell): 5.45



ZnCo2P: relaxed, PBE-GGA.

Unit cell a=4.056 b=4.536 c=4.536 alpha=35.23 beta=90.00 gamma=90.00
Sites, in units of the cell vectors:
1 Zn 0.000 0.000 0.000
2 Co 0.000 0.264 0.264
3 Co 0.500 0.633 0.633
4 P 0.500 0.347 0.347

ΔH_f (0 K) (kJ/mol of atoms): -7.6
DFT total energy (hartree per atom): -0.1949
Relative energy among the computed polymorphs (meV/atom): 174
Fermi-level density of states (states/eV per cell): 3.72